Entry 1:
Below is crystalline CeAgSnIr at its relaxed geometry, with properties calculated at the PBE level.

POSCAR file:
```
CeAgSnIr
1.0
0.0000 3.4694 3.4694
3.4694 0.0000 3.4694
3.4694 3.4694 0.0000
Ce Ag Sn Ir
1 1 1 1
direct
0.0000 0.0000 0.0000
0.2500 0.2500 0.2500
0.5000 0.5000 0.5000
0.7500 0.7500 0.7500
```

SG	No. 216
total magnetization	0.10	μB/atom
calculated density	11.1	g cm⁻³
crystal system	cubic
E_form	-342	meV per atom

***

Entry 2:
Below is crystalline TbCeAgIr at its relaxed geometry, with properties calculated at the PBE level.

POSCAR file:
```
TbCeAgIr
1.0
0.0000 3.5642 3.5642
3.5642 0.0000 3.5642
3.5642 3.5642 0.0000
Tb Ce Ag Ir
1 1 1 1
direct
0.0000 0.0000 0.0000
0.5000 0.5000 0.5000
0.7500 0.7500 0.7500
0.2500 0.2500 0.2500
```

SG	No. 216
total magnetization	0.13	μB/atom
calculated density	11.0	g cm⁻³
crystal system	cubic
E_form	-459	meV per atom

***

Entry 3:
Below is crystalline CeThAgIr at its relaxed geometry, with properties calculated at the PBE level.

POSCAR file:
```
CeThAgIr
1.0
0.0000 3.6167 3.6167
3.6167 0.0000 3.6167
3.6167 3.6167 0.0000
Ce Th Ag Ir
1 1 1 1
direct
0.0000 0.0000 0.0000
0.5000 0.5000 0.5000
0.2500 0.2500 0.2500
0.7500 0.7500 0.7500
```

SG	No. 216
total magnetization	0.17	μB/atom
calculated density	11.8	g cm⁻³
crystal system	cubic
E_form	-377	meV per atom

***

Entry 4:
Below is crystalline CeYAgIr at its relaxed geometry, with properties calculated at the PBE level.

POSCAR file:
```
CeYAgIr
1.0
0.0000 3.5629 3.5629
3.5629 0.0000 3.5629
3.5629 3.5629 0.0000
Ce Y Ag Ir
1 1 1 1
direct
0.0000 0.0000 0.0000
0.5000 0.5000 0.5000
0.7500 0.7500 0.7500
0.2500 0.2500 0.2500
```

SG	No. 216
total magnetization	0.13	μB/atom
calculated density	9.7	g cm⁻³
crystal system	cubic
E_form	-458	meV per atom

***

Entry 5:
Below is crystalline KCeAg10 at its relaxed geometry, with properties calculated at the PBE level.

POSCAR file:
```
KCeAg10
1.0
4.6836 0.0000 0.0000
0.0000 5.7080 0.0000
0.0000 0.0000 9.9508
K Ce Ag
1 1 10
direct
0.0000 0.0000 0.0000
0.0000 0.5000 0.5000
0.0000 0.0000 0.3379
0.0000 0.0000 0.6621
0.0000 0.5000 0.1728
0.0000 0.5000 0.8272
0.5000 0.0000 0.5000
0.5000 0.2563 0.2587
0.5000 0.2563 0.7413
0.5000 0.5000 0.0000
0.5000 0.7437 0.2587
0.5000 0.7437 0.7413
```

SG	No. 47
total magnetization	0.11	μB/atom
calculated density	7.9	g cm⁻³
crystal system	orthorhombic
E_form	-15	meV per atom

***

Entry 6:
Below is crystalline KCeAg2 at its relaxed geometry, with properties calculated at the PBE level.

POSCAR file:
```
KCeAg2
1.0
3.8685 0.0000 0.0000
0.0000 3.8685 0.0000
0.0000 0.0000 8.2172
K Ce Ag
1 1 2
direct
0.0000 0.0000 0.0000
0.0000 0.0000 0.5000
0.5000 0.5000 0.3079
0.5000 0.5000 0.6921
```

SG	No. 123
total magnetization	0.26	μB/atom
calculated density	5.3	g cm⁻³
crystal system	tetragonal
E_form	20	meV per atom